# Th2Ga3Ni4

A geometry-optimized Th2Ga3Ni4 structure (PBE, the Alexandria database).

Geometry as CIF:
```
data_Th2Ga3Ni4
_space_group_name_H-M_alt 'C m c e'
_space_group_IT_number 64
_space_group_name_Hall '-C 2ac 2'
_cell_length_a 5.6430
_cell_length_b 15.4864
_cell_length_c 6.9119
_cell_angle_alpha 90.00
_cell_angle_beta 90.00
_cell_angle_gamma 90.00
loop_
_atom_site_label
_atom_site_fract_x
_atom_site_fract_y
_atom_site_fract_z
_atom_site_occupancy
Th1 0.0000 0.1080 0.0836 1
Ga1 0.0000 0.0000 0.5000 1
Ga2 0.2500 0.2315 0.7500 1
Ni1 0.0000 0.1691 0.4836 1
Ni2 0.2500 0.0701 0.7500 1
```

Properties
- formation energy from the elements (eV/atom) = -0.527
- magnetization (μB per atom) = 0.000